Entry 1:
{
  "formula": "CaY2RuN4",
  "functional": "GGA-PBE",
  "state": "relaxed",
  "e_tot_ev_per_atom": -8.064,
  "volume_a3_per_atom": 14.77,
  "e_form_raw_mev_per_atom": -875,
  "spacegroup": "Cmcm (63)",
  "lattice_angstrom": [[3.4393, 0.0000, 0.0000], [-1.7197, 5.8998, 0.0000], [0.0000, 0.0000, 11.6434]],
  "species": ["N", "N", "N", "N", "N", "N", "N", "N", "Ru", "Ru", "Ca", "Ca", "Y", "Y", "Y", "Y"],
  "fractional_positions": [[0.2577, 0.5155, 0.1259], [0.4332, 0.8663, 0.7500], [0.7423, 0.4845, 0.8741], [0.0000, 0.0000, 0.0000], [0.5668, 0.1337, 0.2500], [0.0000, 0.0000, 0.5000], [0.2577, 0.5155, 0.3741], [0.7423, 0.4845, 0.6259], [0.1419, 0.2839, 0.2500], [0.8581, 0.7161, 0.7500], [0.1285, 0.2570, 0.7500], [0.8715, 0.7430, 0.2500], [0.3685, 0.7370, 0.9651], [0.3685, 0.7370, 0.5349], [0.6315, 0.2630, 0.4651], [0.6315, 0.2630, 0.0349]]
}

=====

Entry 2:
{
  "formula": "CaZnRuN2",
  "functional": "GGA-PBE",
  "state": "relaxed",
  "e_tot_ev_per_atom": -4.438,
  "volume_a3_per_atom": 15.78,
  "e_form_raw_mev_per_atom": 1402,
  "spacegroup": "P4/mmm (123)",
  "lattice_angstrom": [[4.0791, 0.0000, 0.0000], [0.0000, 4.7434, 0.0000], [0.0000, 0.0000, 4.0791]],
  "species": ["Ru", "N", "N", "Ca", "Zn"],
  "fractional_positions": [[0.0000, 0.5000, 0.0000], [0.0000, 0.0000, 0.5000], [0.5000, 0.0000, 0.0000], [0.5000, 0.5000, 0.5000], [0.0000, 0.0000, 0.0000]]
}

=====

Entry 3:
{
  "formula": "Ca2ZnRuN",
  "functional": "GGA-PBE",
  "state": "relaxed",
  "e_tot_ev_per_atom": -5.020,
  "volume_a3_per_atom": 19.23,
  "e_form_raw_mev_per_atom": -444,
  "spacegroup": "P4/mmm (123)",
  "lattice_angstrom": [[5.0198, 0.0000, 0.0000], [0.0000, 5.0198, 0.0000], [0.0000, 0.0000, 3.8165]],
  "species": ["Ca", "Ca", "Ru", "N", "Zn"],
  "fractional_positions": [[0.5000, 0.0000, 0.0000], [0.0000, 0.5000, 0.0000], [0.0000, 0.0000, 0.5000], [0.0000, 0.0000, 0.0000], [0.5000, 0.5000, 0.5000]]
}

=====

Entry 4:
{
  "formula": "Ca2SN",
  "functional": "GGA-PBE",
  "state": "relaxed",
  "e_tot_ev_per_atom": -4.856,
  "volume_a3_per_atom": 17.80,
  "relative_energy_ev_per_atom": 0.260,
  "e_form_raw_mev_per_atom": -742,
  "spacegroup": "Fm-3m (225)",
  "lattice_angstrom": [[0.0000, 3.2897, 3.2897], [3.2897, 0.0000, 3.2897], [3.2897, 3.2897, 0.0000]],
  "species": ["Ca", "Ca", "N", "S"],
  "fractional_positions": [[0.2500, 0.2500, 0.2500], [0.7500, 0.7500, 0.7500], [0.0000, 0.0000, 0.0000], [0.5000, 0.5000, 0.5000]]
}

=====

Entry 5:
{
  "formula": "CaSN2",
  "functional": "GGA-PBE",
  "state": "relaxed",
  "e_tot_ev_per_atom": -4.499,
  "volume_a3_per_atom": 12.98,
  "e_form_raw_mev_per_atom": 1196,
  "spacegroup": "R-3m (166)",
  "lattice_angstrom": [[1.7253, 0.0000, 6.7138], [-0.8627, 1.4942, 6.7138], [-0.8627, -1.4942, 6.7138]],
  "species": ["S", "Ca", "N", "N"],
  "fractional_positions": [[0.5000, 0.5000, 0.5000], [0.0000, 0.0000, 0.0000], [0.8853, 0.8853, 0.8853], [0.1147, 0.1147, 0.1147]]
}

=====

Entry 6:
{
  "formula": "Ca2SN2",
  "functional": "GGA-PBE",
  "state": "relaxed",
  "e_tot_ev_per_atom": -6.069,
  "volume_a3_per_atom": 17.78,
  "e_form_raw_mev_per_atom": -1113,
  "spacegroup": "C2/c (15)",
  "lattice_angstrom": [[3.9428, 0.0000, 0.0000], [0.0000, 6.8126, -0.0382], [-1.9714, -1.8756, 6.6309]],
  "species": ["Ca", "Ca", "Ca", "Ca", "N", "N", "N", "N", "S", "S"],
  "fractional_positions": [[0.8809, 0.1548, 0.2507], [0.1191, 0.8452, 0.7493], [0.6302, 0.3452, 0.7493], [0.3698, 0.6548, 0.2507], [0.9414, 0.4571, 0.5528], [0.0586, 0.5429, 0.4472], [0.6114, 0.9571, 0.5528], [0.3886, 0.0429, 0.4472], [0.2575, 0.2500, 0.0000], [0.7425, 0.7500, 0.0000]]
}

=====

Entry 7:
{
  "formula": "CaSN2",
  "functional": "GGA-PBE",
  "state": "relaxed",
  "e_tot_ev_per_atom": -5.601,
  "volume_a3_per_atom": 17.19,
  "e_form_raw_mev_per_atom": 94,
  "spacegroup": "R-3m (166)",
  "lattice_angstrom": [[-1.4359, 5.2725, 2.5182], [-0.0789, 3.0166, 5.2054], [2.2776, 4.7781, 2.8610]],
  "species": ["N", "N", "S", "Ca"],
  "fractional_positions": [[0.0940, 0.0940, 0.0940], [0.9060, 0.9060, 0.9060], [0.0000, 0.0000, 0.0000], [0.5000, 0.5000, 0.5000]]
}

=====

Entry 8:
{
  "formula": "Ca2SN",
  "functional": "GGA-PBE",
  "state": "relaxed",
  "e_tot_ev_per_atom": -5.116,
  "volume_a3_per_atom": 21.40,
  "relative_energy_ev_per_atom": 0.000,
  "e_form_raw_mev_per_atom": -1002,
  "spacegroup": "I-42d (122)",
  "lattice_angstrom": [[-5.0960, -1.9760, -3.9800], [3.4618, -5.5621, -1.6710], [-2.3602, -5.5954, 0.0571]],
  "species": ["Ca", "Ca", "Ca", "Ca", "N", "N", "S", "S"],
  "fractional_positions": [[0.5766, 0.1250, 0.2500], [0.3750, 0.4234, 0.7500], [0.8750, 0.8266, 0.7500], [0.1734, 0.6250, 0.2500], [0.5000, 0.5000, 0.0000], [0.2500, 0.7500, 0.5000], [0.0000, 0.0000, 0.0000], [0.7500, 0.2500, 0.5000]]
}

=====

Entry 9:
{
  "formula": "Ca4S2N",
  "functional": "GGA-PBE",
  "state": "relaxed",
  "e_tot_ev_per_atom": -4.878,
  "volume_a3_per_atom": 23.39,
  "e_form_raw_mev_per_atom": -1365,
  "spacegroup": "C2/m (12)",
  "lattice_angstrom": [[-0.9746, -1.0236, -3.5435], [2.1039, -6.2228, 1.2188], [-6.4135, 1.9759, 3.2469]],
  "species": ["Ca", "Ca", "Ca", "Ca", "S", "S", "N"],
  "fractional_positions": [[0.3850, 0.7455, 0.7699], [0.6150, 0.2545, 0.2301], [0.8840, 0.1768, 0.7680], [0.1160, 0.8232, 0.2320], [0.7285, 0.7300, 0.4569], [0.2715, 0.2700, 0.5431], [0.0000, 0.0000, 0.0000]]
}

=====

Entry 10:
{
  "formula": "Ca8SN4",
  "functional": "GGA-PBE",
  "state": "relaxed",
  "e_tot_ev_per_atom": -5.056,
  "volume_a3_per_atom": 22.76,
  "e_form_raw_mev_per_atom": -945,
  "spacegroup": "F-43m (216)",
  "lattice_angstrom": [[-5.6133, -1.8362, 4.5901], [-4.7314, -5.4788, -1.8832], [0.1574, -6.5082, 3.6836]],
  "species": ["Ca", "Ca", "Ca", "Ca", "Ca", "Ca", "Ca", "Ca", "S", "N", "N", "N", "N"],
  "fractional_positions": [[0.6058, 0.1827, 0.6058], [0.1827, 0.6058, 0.6058], [0.6058, 0.6058, 0.1827], [0.1415, 0.1415, 0.5754], [0.1415, 0.1415, 0.1415], [0.5754, 0.1415, 0.1415], [0.6058, 0.6058, 0.6058], [0.1415, 0.5754, 0.1415], [0.7500, 0.7500, 0.7500], [0.3738, 0.3738, 0.8786], [0.3738, 0.3738, 0.3738], [0.3738, 0.8786, 0.3738], [0.8786, 0.3738, 0.3738]]
}

=====

Entry 11:
{
  "formula": "Ca4SN4",
  "functional": "GGA-PBE",
  "state": "relaxed",
  "e_tot_ev_per_atom": -5.764,
  "volume_a3_per_atom": 16.66,
  "e_form_raw_mev_per_atom": -716,
  "spacegroup": "P-1 (2)",
  "lattice_angstrom": [[-5.8021, 0.2962, -2.2449], [-0.2793, -4.0233, -4.7174], [-5.0249, -5.8200, 3.9201]],
  "species": ["N", "N", "N", "N", "N", "N", "N", "N", "S", "S", "Ca", "Ca", "Ca", "Ca", "Ca", "Ca", "Ca", "Ca"],
  "fractional_positions": [[0.9419, 0.7560, 0.6077], [0.2644, 0.4464, 0.1179], [0.4387, 0.2586, 0.6027], [0.0066, 0.8220, 0.8829], [0.7356, 0.5536, 0.8821], [0.5613, 0.7414, 0.3973], [0.0581, 0.2440, 0.3923], [0.9934, 0.1780, 0.1171], [0.8141, 0.7868, 0.8022], [0.1859, 0.2132, 0.1978], [0.1777, 0.3992, 0.8416], [0.3052, 0.8053, 0.9993], [0.7660, 0.0124, 0.4269], [0.8223, 0.6008, 0.1584], [0.6948, 0.1947, 0.0007], [0.7118, 0.4895, 0.5795], [0.2882, 0.5105, 0.4205], [0.2340, 0.9876, 0.5731]]
}

=====

Entry 12:
{
  "formula": "Ca12S3N5",
  "functional": "GGA-PBE",
  "state": "relaxed",
  "e_tot_ev_per_atom": -4.903,
  "volume_a3_per_atom": 22.59,
  "e_form_raw_mev_per_atom": -1002,
  "spacegroup": "Ia-3d (230)",
  "lattice_angstrom": [[13.2914, 0.0000, 0.0000], [-4.4305, 12.5312, 0.0000], [-4.4305, -6.2656, 10.8524]],
  "species": ["Ca", "Ca", "Ca", "Ca", "Ca", "Ca", "Ca", "Ca", "Ca", "Ca", "Ca", "Ca", "Ca", "Ca", "Ca", "Ca", "Ca", "Ca", "Ca", "Ca", "Ca", "Ca", "Ca", "Ca", "Ca", "Ca", "Ca", "Ca", "Ca", "Ca", "Ca", "Ca", "Ca", "Ca", "Ca", "Ca", "Ca", "Ca", "Ca", "Ca", "Ca", "Ca", "Ca", "Ca", "Ca", "Ca", "Ca", "Ca", "N", "N", "N", "N", "N", "N", "N", "N", "N", "N", "N", "N", "N", "N", "N", "N", "N", "N", "N", "N", "S", "S", "S", "S", "S", "S", "S", "S", "S", "S", "S", "S"],
  "fractional_positions": [[0.3191, 0.5207, 0.4004], [0.2984, 0.8797, 0.9793], [0.4187, 0.2984, 0.3191], [0.6809, 0.4793, 0.5996], [0.3797, 0.9793, 0.7984], [0.4793, 0.6809, 0.0996], [0.3797, 0.4004, 0.0813], [0.0996, 0.9187, 0.1203], [0.9187, 0.8191, 0.7984], [0.4793, 0.7984, 0.8797], [0.7984, 0.4793, 0.3797], [0.5813, 0.7016, 0.6809], [0.5207, 0.2016, 0.1203], [0.6203, 0.5996, 0.9187], [0.3191, 0.7984, 0.4187], [0.1809, 0.0996, 0.9793], [0.9793, 0.5996, 0.1809], [0.4187, 0.1203, 0.5996], [0.5207, 0.3191, 0.9004], [0.5813, 0.8797, 0.4004], [0.8797, 0.5813, 0.9004], [0.0996, 0.1809, 0.4793], [0.1203, 0.7016, 0.5207], [0.8191, 0.9187, 0.2984], [0.7984, 0.3191, 0.9187], [0.7016, 0.1203, 0.0207], [0.2016, 0.5207, 0.6203], [0.8797, 0.2984, 0.4793], [0.9004, 0.0813, 0.8797], [0.9793, 0.3797, 0.2984], [0.5996, 0.9793, 0.6809], [0.0813, 0.1809, 0.2016], [0.0207, 0.4004, 0.8191], [0.2016, 0.6809, 0.0813], [0.6203, 0.0207, 0.2016], [0.0207, 0.6203, 0.7016], [0.4004, 0.3797, 0.5813], [0.7016, 0.5813, 0.1809], [0.6809, 0.2016, 0.5813], [0.9187, 0.0996, 0.6203], [0.2984, 0.4187, 0.8191], [0.8191, 0.9004, 0.0207], [0.0813, 0.9004, 0.3797], [0.1809, 0.0813, 0.7016], [0.1203, 0.4187, 0.0996], [0.9004, 0.8191, 0.5207], [0.4004, 0.0207, 0.3191], [0.5996, 0.6203, 0.4187], [0.5000, 0.5000, 0.0000], [0.1250, 0.3750, 0.2500], [0.7500, 0.6250, 0.3750], [0.5000, 0.0000, 0.0000], [0.5000, 0.5000, 0.5000], [0.0000, 0.5000, 0.0000], [0.8750, 0.6250, 0.7500], [0.0000, 0.0000, 0.0000], [0.8750, 0.2500, 0.6250], [0.5000, 0.0000, 0.5000], [0.3750, 0.1250, 0.7500], [0.6250, 0.7500, 0.8750], [0.0000, 0.5000, 0.5000], [0.6250, 0.8750, 0.2500], [0.7500, 0.1250, 0.8750], [0.3750, 0.2500, 0.1250], [0.0000, 0.0000, 0.5000], [0.2500, 0.3750, 0.6250], [0.1250, 0.7500, 0.3750], [0.2500, 0.8750, 0.1250], [0.1250, 0.2500, 0.8750], [0.6250, 0.2500, 0.3750], [0.3750, 0.7500, 0.6250], [0.8750, 0.1250, 0.2500], [0.8750, 0.7500, 0.1250], [0.6250, 0.3750, 0.7500], [0.1250, 0.8750, 0.7500], [0.3750, 0.6250, 0.2500], [0.7500, 0.3750, 0.1250], [0.2500, 0.6250, 0.8750], [0.7500, 0.8750, 0.6250], [0.2500, 0.1250, 0.3750]]
}

=====

Entry 13:
{
  "formula": "Ca8S2N3",
  "functional": "GGA-PBE",
  "state": "relaxed",
  "e_tot_ev_per_atom": -4.859,
  "volume_a3_per_atom": 23.45,
  "e_form_raw_mev_per_atom": -1071,
  "spacegroup": "C2/m (12)",
  "lattice_angstrom": [[-3.5800, 4.8989, 1.7666], [-5.9610, -3.4873, -2.4093], [3.3988, -2.6629, 6.5478]],
  "species": ["Ca", "Ca", "Ca", "Ca", "Ca", "Ca", "Ca", "Ca", "S", "S", "N", "N", "N"],
  "fractional_positions": [[0.6045, 0.1321, 0.7927], [0.0931, 0.4036, 0.8072], [0.3955, 0.8679, 0.2073], [0.9008, 0.0941, 0.1882], [0.3955, 0.3394, 0.2073], [0.6045, 0.6606, 0.7927], [0.0992, 0.9059, 0.8118], [0.9069, 0.5964, 0.1928], [0.3225, 0.2546, 0.5091], [0.6775, 0.7454, 0.4909], [0.5000, 0.0000, 0.0000], [0.0000, 0.7454, 0.0000], [0.0000, 0.2546, 0.0000]]
}

=====

Entry 14:
{
  "formula": "Ca3S2N",
  "functional": "GGA-PBE",
  "state": "relaxed",
  "e_tot_ev_per_atom": -5.201,
  "volume_a3_per_atom": 20.99,
  "e_form_raw_mev_per_atom": -1437,
  "spacegroup": "C2/c (15)",
  "lattice_angstrom": [[6.8071, 0.2010, 0.3462], [-1.2934, 6.6697, -0.3651], [-1.2934, -3.6236, 5.6114]],
  "species": ["S", "S", "S", "S", "Ca", "Ca", "Ca", "Ca", "Ca", "Ca", "N", "N"],
  "fractional_positions": [[0.7500, 0.7562, 0.2438], [0.2500, 0.2438, 0.7562], [0.7500, 0.0817, 0.9183], [0.2500, 0.9183, 0.0817], [0.9983, 0.2047, 0.3581], [0.5000, 0.0000, 0.5000], [0.4983, 0.3581, 0.2047], [0.0000, 0.5000, 0.0000], [0.5017, 0.6419, 0.7953], [0.0017, 0.7953, 0.6419], [0.2500, 0.5777, 0.4223], [0.7500, 0.4223, 0.5777]]
}

=====

Entry 15:
{
  "formula": "CaSN2",
  "functional": "GGA-PBE",
  "state": "relaxed",
  "e_tot_ev_per_atom": -5.249,
  "volume_a3_per_atom": 14.80,
  "e_form_raw_mev_per_atom": 445,
  "spacegroup": "I-42d (122)",
  "lattice_angstrom": [[-3.5015, -2.9817, -1.6718], [-1.4315, -0.8942, 4.5932], [-5.6037, 1.8778, 1.2258]],
  "species": ["Ca", "Ca", "N", "N", "N", "N", "S", "S"],
  "fractional_positions": [[0.0000, 0.0000, 0.0000], [0.7500, 0.2500, 0.5000], [0.5372, 0.1250, 0.2500], [0.3750, 0.4628, 0.7500], [0.8750, 0.7872, 0.7500], [0.2128, 0.6250, 0.2500], [0.5000, 0.5000, 0.0000], [0.2500, 0.7500, 0.5000]]
}

=====

Entry 16:
{
  "formula": "Ca4SN",
  "functional": "GGA-PBE",
  "state": "relaxed",
  "e_tot_ev_per_atom": -4.427,
  "volume_a3_per_atom": 27.24,
  "e_form_raw_mev_per_atom": -1018,
  "spacegroup": "P2/m (10)",
  "lattice_angstrom": [[3.7540, 0.0000, 0.0000], [0.0000, 6.4187, -0.0163], [0.0000, -0.2441, 6.7831]],
  "species": ["Ca", "Ca", "Ca", "Ca", "N", "S"],
  "fractional_positions": [[0.0000, 0.2328, 0.2980], [0.0000, 0.7672, 0.7020], [0.5000, 0.2115, 0.8649], [0.5000, 0.7885, 0.1351], [0.0000, 0.0000, 0.0000], [0.5000, 0.0000, 0.5000]]
}

=====

Entry 17:
{
  "formula": "Ca4SN2",
  "functional": "GGA-PBE",
  "state": "relaxed",
  "e_tot_ev_per_atom": -5.280,
  "volume_a3_per_atom": 19.25,
  "e_form_raw_mev_per_atom": -1168,
  "spacegroup": "Cmcm (63)",
  "lattice_angstrom": [[-2.4449, 2.7535, -0.0179], [-3.0691, -5.1740, 2.0570], [2.9899, 2.7284, 11.3235]],
  "species": ["S", "S", "Ca", "Ca", "Ca", "Ca", "Ca", "Ca", "Ca", "Ca", "N", "N", "N", "N"],
  "fractional_positions": [[0.6112, 0.2224, 0.7500], [0.3888, 0.7776, 0.2500], [0.7643, 0.5285, 0.1041], [0.0558, 0.1117, 0.2500], [0.5000, 0.0000, 0.5000], [0.2357, 0.4715, 0.8959], [0.9442, 0.8883, 0.7500], [0.2357, 0.4715, 0.6041], [0.7643, 0.5285, 0.3959], [0.5000, 0.0000, 0.0000], [0.8641, 0.7281, 0.9311], [0.1359, 0.2719, 0.0689], [0.8641, 0.7281, 0.5689], [0.1359, 0.2719, 0.4311]]
}

=====

Entry 18:
{
  "formula": "CaSbS2N",
  "functional": "GGA-PBE",
  "state": "relaxed",
  "e_tot_ev_per_atom": -4.718,
  "volume_a3_per_atom": 20.76,
  "relative_energy_ev_per_atom": 0.000,
  "e_form_raw_mev_per_atom": -177,
  "spacegroup": "P4/mmm (123)",
  "lattice_angstrom": [[5.1148, 0.0000, 0.0000], [0.0000, 5.1148, 0.0000], [0.0000, 0.0000, 3.9680]],
  "species": ["S", "S", "Ca", "Sb", "N"],
  "fractional_positions": [[0.0000, 0.5000, 0.0000], [0.5000, 0.0000, 0.0000], [0.5000, 0.5000, 0.5000], [0.0000, 0.0000, 0.0000], [0.0000, 0.0000, 0.5000]]
}

=====

Entry 19:
{
  "formula": "CaSbSN2",
  "functional": "GGA-PBE",
  "state": "relaxed",
  "e_tot_ev_per_atom": -5.179,
  "volume_a3_per_atom": 17.45,
  "relative_energy_ev_per_atom": 0.000,
  "e_form_raw_mev_per_atom": 201,
  "spacegroup": "P4/mmm (123)",
  "lattice_angstrom": [[4.0586, 0.0000, 0.0000], [0.0000, 4.0586, 0.0000], [0.0000, 0.0000, 5.2956]],
  "species": ["N", "N", "Ca", "S", "Sb"],
  "fractional_positions": [[0.5000, 0.0000, 0.0000], [0.0000, 0.5000, 0.0000], [0.5000, 0.5000, 0.5000], [0.0000, 0.0000, 0.5000], [0.0000, 0.0000, 0.0000]]
}

=====

Entry 20:
{
  "formula": "CaSbSN2",
  "functional": "GGA-PBE",
  "state": "relaxed",
  "e_tot_ev_per_atom": -4.073,
  "volume_a3_per_atom": 17.90,
  "relative_energy_ev_per_atom": 1.107,
  "e_form_raw_mev_per_atom": 1308,
  "spacegroup": "P4/mmm (123)",
  "lattice_angstrom": [[-1.3965, 2.9003, 2.6349], [-4.4411, 0.2581, -2.6379], [-1.6108, -2.9749, 2.4207]],
  "species": ["N", "N", "Sb", "S", "Ca"],
  "fractional_positions": [[0.0000, 0.0000, 0.5000], [0.5000, 0.0000, 0.0000], [0.5000, 0.5000, 0.5000], [0.0000, 0.0000, 0.0000], [0.0000, 0.5000, 0.0000]]
}